5
Lattice="5.771 0.000 0.000 0.000 5.771 0.000 0.000 0.000 4.011" Properties=species:S:1:pos:R:3 comment="InTcTe2N GGA-PBE optimized geometry" e_form_raw_ev_per_atom=1.4415 e_tot_ev_per_atom=-4.101 de_polymorph_ev_per_fu=6.46 pbc="T T T"
In 0.000 0.000 0.000
Tc 2.885 2.885 2.006
Te 0.000 2.885 0.000
Te 2.885 0.000 0.000
N 0.000 0.000 2.006